Density functional theory data (PBE) for an optimized crystal structure of ZrNb2CdSi.

abc: 4.747 4.747 4.736
angles: 90.00 90.00 90.00
Element x y z (fractional)
Zr  0.000  0.000  0.000
Nb  0.000  0.500  0.500
Nb  0.500  0.000  0.500
Cd  0.500  0.500  0.000
Si  0.500  0.500  0.500

The space-group type is P4/mmm, No. 123. As for the magnetic moment: 0.0 Bohr magnetons per cell. The uncorrected formation energy comes out at 0.48 eV/atom. As for the crystal system: tetragonal.

---

Density functional theory data (PBE) for an optimized crystal structure of Rb2Dy2TiSe6.

abc: 6.959 6.959 8.539
angles: 98.33 98.33 119.50
Element x y z (fractional)
Rb  0.173  0.827  0.000
Rb  0.827  0.173  0.000
Dy  0.333  0.667  0.500
Dy  0.667  0.333  0.500
Ti  0.000  0.000  0.500
Se  0.068  0.374  0.688
Se  0.241  0.241  0.314
Se  0.374  0.068  0.688
Se  0.626  0.932  0.312
Se  0.759  0.759  0.686
Se  0.932  0.626  0.312

The space-group type is C2/m, No. 12. As for the magnetic moment: 0.0 Bohr magnetons per cell. The uncorrected formation energy comes out at -1.54 eV/atom. As for the crystal system: monoclinic.

---

Density functional theory data (PBE) for an optimized crystal structure of Rb3Au2I.

abc: 11.433 11.433 11.433
angles: 154.07 154.07 37.00
Element x y z (fractional)
Rb  0.000  0.000  0.000
Rb  0.330  0.330  0.000
Rb  0.670  0.670  0.000
Au  0.167  0.167  0.000
Au  0.833  0.833  0.000
I  0.500  0.500  0.000

The space-group type is I4/mmm, No. 139. As for the magnetic moment: 0.0 Bohr magnetons per cell. The uncorrected formation energy comes out at -0.67 eV/atom. As for the crystal system: tetragonal.

---

Density functional theory data (PBE) for an optimized crystal structure of SrSbOs2.

abc: 9.027 9.027 9.027
angles: 20.92 20.92 20.92
Element x y z (fractional)
Sr  0.000  0.000  0.000
Sb  0.500  0.500  0.500
Os  0.238  0.238  0.238
Os  0.762  0.762  0.762

The space-group type is R-3m, No. 166. As for the magnetic moment: 0.0 Bohr magnetons per cell. The uncorrected formation energy comes out at 0.95 eV/atom. As for the crystal system: trigonal.

---

Density functional theory data (PBE) for an optimized crystal structure of SmSi2PdRh.

abc: 5.848 5.848 5.848
angles: 138.86 138.86 59.59
Element x y z (fractional)
Sm  0.000  0.000  0.000
Si  0.383  0.383  0.000
Si  0.617  0.617  0.000
Pd  0.250  0.750  0.500
Rh  0.750  0.250  0.500

The space-group type is I-4m2, No. 119. As for the magnetic moment: 0.0 Bohr magnetons per cell. The uncorrected formation energy comes out at -0.99 eV/atom. As for the crystal system: tetragonal.

---

Density functional theory data (PBE) for an optimized crystal structure of Mg7Ga.

abc: 6.312 6.312 5.046
angles: 90.00 90.00 120.00
Element x y z (fractional)
Mg  0.000  0.000  0.000
Mg  0.004  0.502  0.000
Mg  0.333  0.166  0.500
Mg  0.498  0.502  0.000
Mg  0.498  0.996  0.000
Mg  0.834  0.166  0.500
Mg  0.834  0.667  0.500
Ga  0.333  0.667  0.500

The space-group type is P-6m2, No. 187. As for the magnetic moment: 0.0 Bohr magnetons per cell. The energy relative to the elements comes out at -0.03 eV per atom. As for the crystal system: hexagonal.

---

Density functional theory data (PBE) for an optimized crystal structure of HRh3Cl.

abc: 3.986 3.986 3.986
angles: 90.00 90.00 90.00
Element x y z (fractional)
H  0.000  0.000  0.000
Rh  0.000  0.000  0.500
Rh  0.000  0.500  0.000
Rh  0.500  0.000  0.000
Cl  0.500  0.500  0.500

The space-group type is Pm-3m, No. 221. As for the magnetic moment: 0.0 Bohr magnetons per cell. The total energy comes out at -4.87 eV per atom. As for the crystal system: cubic.

---

Density functional theory data (PBE) for an optimized crystal structure of Co2CuTc.

abc: 2.978 2.978 5.462
angles: 90.00 90.00 90.00
Element x y z (fractional)
Co  0.000  0.000  0.243
Co  0.000  0.000  0.757
Cu  0.500  0.500  0.000
Tc  0.500  0.500  0.500

The space-group type is P4/mmm, No. 123. As for the magnetic moment: 2.9 Bohr magnetons per cell. The energy relative to the elements comes out at 0.21 eV per atom. As for the crystal system: tetragonal.